VASP calculation (PBE) on a relaxed Al2Tl5Pd12 crystal.

Cell: 13.0261 7.8182 6.6856 Å, 90.00 95.42 90.00°
Space group C2/m (No. 12)
Unique sites:
Al 0.0000 0.2466 0.0000 x4
Tl 0.0000 0.0000 0.5000 x2
Tl 0.1906 0.5000 0.9457 x4
Tl 0.2488 0.0000 0.5797 x4
Pd 0.0440 0.5000 0.2274 x4
Pd 0.1000 0.0000 0.8831 x4
Pd 0.1028 0.3021 0.6156 x8
Pd 0.1621 0.1910 0.2365 x8

Output
Total DFT energy (no corrections) (eV for the cell shown): -173.62
Total magnetization (μB/atom): 0.000
Energy relative to the elements (eV per formula unit): -5.18



VASP calculation (PBE) on a relaxed AlTl6Pd12 crystal.

Cell: 11.9185 11.9185 8.7471 Å, 90.00 90.00 120.00°
Space group R-3 (No. 148, hexagonal axes)
Unique sites:
Al 0.0000 0.0000 0.0000 x3
Tl 0.0507 0.8370 0.7341 x18
Pd 0.0524 0.8259 0.0831 x18
Pd 0.0584 0.8156 0.4206 x18

Output
Total DFT energy (no corrections) (eV for the cell shown): -252.12
Total magnetization (μB/atom): 0.000
Energy relative to the elements (eV per formula unit): -3.78



VASP calculation (PBE) on a relaxed Al2TlPd8 crystal.

Cell: 13.9712 4.0968 6.4326 Å, 90.00 109.55 90.00°
Space group C2/m (No. 12)
Unique sites:
Al 0.2145 0.0000 0.1643 x4
Tl 0.0000 0.5000 0.5000 x2
Pd 0.0411 0.0000 0.2259 x4
Pd 0.1056 0.5000 0.9776 x4
Pd 0.1627 0.0000 0.7393 x4
Pd 0.1803 0.5000 0.4318 x4

Output
Total DFT energy (no corrections) (eV for the cell shown): -114.05
Total magnetization (μB/atom): 0.000
Energy relative to the elements (eV per formula unit): -5.63



VASP calculation (PBE) on a relaxed Al2TlPd crystal.

Cell: 6.6852 6.6852 6.6852 Å, 90.00 90.00 90.00°
Space group Fm-3m (No. 225)
Unique sites:
Al 0.2500 0.2500 0.2500 x8
Tl 0.0000 0.0000 0.0000 x4
Pd 0.0000 0.0000 0.5000 x4

Output
Total DFT energy (no corrections) (eV for the cell shown): -59.36
Total magnetization (μB/atom): 0.000
Energy relative to the elements (eV per formula unit): 0.20



VASP calculation (PBE) on a relaxed Al2Tl2Pd crystal.

Cell: 6.5981 6.5981 5.2165 Å, 90.00 90.00 90.00°
Space group P4/mbm (No. 127)
Unique sites:
Al 0.1469 0.3531 0.0000 x4
Tl 0.1836 0.6836 0.5000 x4
Pd 0.0000 0.0000 0.0000 x2

Output
Total DFT energy (no corrections) (eV for the cell shown): -35.07
Total magnetization (μB/atom): 0.000
Energy relative to the elements (eV per formula unit): -0.12



VASP calculation (PBE) on a relaxed Al2TlPd8 crystal.

Cell: 7.1333 13.1932 4.6491 Å, 90.00 125.51 90.00°
Space group Cm (No. 8)
Unique sites:
Al 0.0000 0.1620 0.0000 x4
Tl 0.0259 0.5000 0.0528 x2
Pd 0.0580 0.3702 0.5711 x4
Pd 0.1871 0.0000 0.3363 x2
Pd 0.2600 0.1741 0.7747 x4
Pd 0.2823 0.3064 0.2813 x4
Pd 0.4584 0.5000 0.6384 x2

Output
Total DFT energy (no corrections) (eV for the cell shown): -112.70
Total magnetization (μB/atom): 0.000
Energy relative to the elements (eV per formula unit): -4.96



VASP calculation (PBE) on a relaxed AlTl2Pd crystal.

Cell: 7.0463 7.0463 7.0463 Å, 90.00 90.00 90.00°
Space group Fm-3m (No. 225)
Unique sites:
Al 0.0000 0.0000 0.0000 x4
Tl 0.2500 0.2500 0.2500 x8
Pd 0.0000 0.0000 0.5000 x4

Output
Total DFT energy (no corrections) (eV for the cell shown): -52.46
Total magnetization (μB/atom): 0.000
Energy relative to the elements (eV per formula unit): 0.55



VASP calculation (PBE) on a relaxed Al2TlPd crystal.

Cell: 7.8371 7.8371 5.5203 Å, 90.00 90.00 90.00°
Space group I-42d (No. 122)
Unique sites:
Al 0.1869 0.2500 0.1250 x8
Tl 0.0000 0.0000 0.5000 x4
Pd 0.0000 0.0000 0.0000 x4

Output
Total DFT energy (no corrections) (eV for the cell shown): -60.11
Total magnetization (μB/atom): 0.000
Energy relative to the elements (eV per formula unit): 0.02



VASP calculation (PBE) on a relaxed AlTlPd6 crystal.

Cell: 3.9965 3.9965 8.0131 Å, 90.00 90.00 90.00°
Space group P4/mmm (No. 123)
Unique sites:
Al 0.0000 0.0000 0.0000 x1
Tl 0.0000 0.0000 0.5000 x1
Pd 0.0000 0.5000 0.2325 x4
Pd 0.5000 0.5000 0.0000 x1
Pd 0.5000 0.5000 0.5000 x1

Output
Total DFT energy (no corrections) (eV for the cell shown): -40.44
Total magnetization (μB/atom): 0.000
Energy relative to the elements (eV per formula unit): -3.17



VASP calculation (PBE) on a relaxed AlTl2Pd crystal.

Cell: 9.4568 9.4568 4.8730 Å, 90.00 90.00 90.00°
Space group I-42d (No. 122)
Unique sites:
Al 0.0000 0.0000 0.0000 x4
Tl 0.1393 0.2500 0.6250 x8
Pd 0.0000 0.0000 0.5000 x4

Output
Total DFT energy (no corrections) (eV for the cell shown): -53.80
Total magnetization (μB/atom): 0.000
Energy relative to the elements (eV per formula unit): 0.22



VASP calculation (PBE) on a relaxed ZrAlTl2Pd crystal.

Cell: 5.5500 5.5500 5.2545 Å, 90.00 90.00 90.00°
Space group P4/mmm (No. 123)
Unique sites:
Zr 0.0000 0.0000 0.0000 x1
Al 0.0000 0.0000 0.5000 x1
Tl 0.0000 0.5000 0.0000 x2
Pd 0.5000 0.5000 0.5000 x1

Output
Total DFT energy (no corrections) (eV for the cell shown): -17.35
Total magnetization (μB/atom): 0.000
Energy relative to the elements (eV per formula unit): 4.86



VASP calculation (PBE) on a relaxed Tm2AlPd8 crystal.

Cell: 15.2020 4.5698 5.9344 Å, 90.00 112.89 90.00°
Space group C2/m (No. 12)
Unique sites:
Tm 0.1904 0.0000 0.1901 x4
Al 0.0000 0.5000 0.5000 x2
Pd 0.0002 0.0000 0.2498 x4
Pd 0.1332 0.5000 0.8942 x4
Pd 0.1338 0.5000 0.3735 x4
Pd 0.1786 0.0000 0.6790 x4

Output
Total DFT energy (no corrections) (eV for the cell shown): -124.95
Total magnetization (μB/atom): 0.000
Energy relative to the elements (eV per formula unit): -8.25